Record 1
Entry from Alexandria via LeMat-Bulk: an optimized crystal structure of CrCuW2 (PBE). Values from VASP.

Quantum ESPRESSO input file:
```
&SYSTEM
  ibrav = 0, nat = 4, ntyp = 3
/
ATOMIC_SPECIES
W 183.84 W.upf
Cu 63.55 Cu.upf
Cr 52.00 Cr.upf
CELL_PARAMETERS angstrom
9.193 -0.039 -0.023
8.794 2.681 -0.023
8.794 1.292 2.349
ATOMIC_POSITIONS crystal
W 0.997 0.997 0.997
W 0.754 0.754 0.754
Cu 0.247 0.247 0.247
Cr 0.502 0.502 0.502
```

M_tot   2.08 μB/f.u.
Total DFT energy (no corrections)   -9.42 eV per atom
DFT formation energy   0.49 eV per atom
Distance to the lowest polymorph of the same formula   24.0 kJ/mol of atoms

Record 2
Entry from Alexandria via LeMat-Bulk: an optimized crystal structure of Cr2CuW (PBE). Values from VASP.

Quantum ESPRESSO input file:
```
&SYSTEM
  ibrav = 0, nat = 4, ntyp = 3
/
ATOMIC_SPECIES
Cr 52.00 Cr.upf
W 183.84 W.upf
Cu 63.55 Cu.upf
CELL_PARAMETERS angstrom
-0.867 -0.969 -2.156
0.179 -3.657 1.572
-4.899 0.508 1.741
ATOMIC_POSITIONS crystal
Cr 0.500 0.500 0.245
Cr 0.000 0.000 0.012
W 0.500 0.500 0.751
Cu 0.000 0.000 0.492
```

M_tot   0.00 μB/f.u.
Total DFT energy (no corrections)   -8.70 eV per atom
DFT formation energy   0.37 eV per atom
Distance to the lowest polymorph of the same formula   12.4 kJ/mol of atoms

Record 3
Entry from Alexandria via LeMat-Bulk: an optimized crystal structure of CrCuW2 (PBE). Values from VASP.

Quantum ESPRESSO input file:
```
&SYSTEM
  ibrav = 0, nat = 4, ntyp = 3
/
ATOMIC_SPECIES
Cr 52.00 Cr.upf
Cu 63.55 Cu.upf
W 183.84 W.upf
CELL_PARAMETERS angstrom
-3.157 -0.509 -2.693
1.002 -2.328 -0.735
-2.316 -3.395 3.356
ATOMIC_POSITIONS crystal
Cr 0.500 0.250 0.250
Cu 0.500 0.750 0.750
W 0.000 0.490 0.493
W 0.000 0.010 0.007
```

M_tot   0.00 μB/f.u.
Total DFT energy (no corrections)   -9.60 eV per atom
DFT formation energy   0.31 eV per atom
Distance to the lowest polymorph of the same formula   6.7 kJ/mol of atoms

distance to the lowest polymorph of the same formula of number 3 (CrCuW2)?
6.7 kJ/mol of atoms

M_tot of number 2 (Cr2CuW)?
0.00 μB/f.u.

Which formula does entry 3 have?
CrCuW2

The lowest total DFT energy (no corrections) belongs to which entry?
number 3